First-principles (PBE) data for UAlFe2Si4 after structural relaxation, as listed in Alexandria via LeMat-Bulk.

Output
Formation energy from raw total energies ... -0.0726 eV/atom

Lattice parameters (Å, degrees): 3.392 3.392 10.571 90.00 90.00 90.00
Positions (direct):
U: 0.000 0.000 0.000
Al: 0.000 0.000 0.500
Fe: 0.500 0.500 0.385
Fe: 0.500 0.500 0.615
Si: 0.000 0.500 0.229
Si: 0.000 0.500 0.771
Si: 0.500 0.000 0.229
Si: 0.500 0.000 0.771

First-principles (PBE) data for U2AlFe4Si3 after structural relaxation, as listed in Alexandria via LeMat-Bulk.

Output
Formation energy from raw total energies ... -0.3964 eV/atom

Lattice parameters (Å, degrees): 3.876 3.876 9.734 90.00 90.00 90.00
Positions (direct):
U: 0.000 0.500 0.245
U: 0.500 0.000 0.755
Al: 0.000 0.000 0.500
Fe: 0.000 0.000 0.000
Fe: 0.000 0.500 0.648
Fe: 0.500 0.000 0.352
Fe: 0.500 0.500 0.000
Si: 0.000 0.500 0.880
Si: 0.500 0.000 0.120
Si: 0.500 0.500 0.500